# FeAsIN2 PBE-GGA relaxed
# relative energy among the computed polymorphs = 1.055 eV/f.u.
# theoretical density = 4.735 g/cm³
data_FeAsIN2
_symmetry_space_group_name_H-M 'P 4/m m m'
_symmetry_Int_Tables_number 123
_symmetry_space_group_name_Hall '-P 4 2'
_cell_length_a 3.7458
_cell_length_b 3.7458
_cell_length_c 7.1400
_cell_angle_alpha 90.00
_cell_angle_beta 90.00
_cell_angle_gamma 90.00
loop_
_atom_site_label
_atom_site_type_symbol
_atom_site_fract_x
_atom_site_fract_y
_atom_site_fract_z
_atom_site_occupancy
Fe1 Fe 0.0000 0.0000 0.0000 1
As1 As 0.5000 0.5000 0.5000 1
I1 I 0.5000 0.5000 0.0000 1
N1 N 0.0000 0.5000 0.5000 1

# Y3Si2Rh6 PBE-GGA relaxed
# total DFT energy (no corrections) = -7.579 eV/atom
# theoretical density = 7.801 g/cm³
data_Y3Si2Rh6
_symmetry_space_group_name_H-M 'I m -3 m'
_symmetry_Int_Tables_number 229
_symmetry_space_group_name_Hall '-I 4 2 3'
_cell_length_a 9.2856
_cell_length_b 9.2856
_cell_length_c 9.2856
_cell_angle_alpha 90.00
_cell_angle_beta 90.00
_cell_angle_gamma 90.00
loop_
_atom_site_label
_atom_site_type_symbol
_atom_site_fract_x
_atom_site_fract_y
_atom_site_fract_z
_atom_site_occupancy
Y1 Y 0.0000 0.0000 0.2930 1
Si1 Si 0.2500 0.2500 0.2500 1
Rh1 Rh 0.0000 0.3144 0.3144 1

# In15GaPb4 PBE-GGA relaxed
# energy of formation = 0.016 eV per atom
# theoretical density = 7.813 g/cm³
data_In15GaPb4
_symmetry_space_group_name_H-M 'P 4/m m m'
_symmetry_Int_Tables_number 123
_symmetry_space_group_name_Hall '-P 4 2'
_cell_length_a 5.1635
_cell_length_b 5.1635
_cell_length_c 20.8913
_cell_angle_alpha 90.00
_cell_angle_beta 90.00
_cell_angle_gamma 90.00
loop_
_atom_site_label
_atom_site_type_symbol
_atom_site_fract_x
_atom_site_fract_y
_atom_site_fract_z
_atom_site_occupancy
In1 In 0.0000 0.0000 0.0000 1
In2 In 0.0000 0.0000 0.1939 1
In3 In 0.0000 0.0000 0.3971 1
In4 In 0.0000 0.5000 0.0903 1
In5 In 0.0000 0.5000 0.2949 1
In6 In 0.0000 0.5000 0.5000 1
Ga1 Ga 0.5000 0.5000 0.0000 1
Pb1 Pb 0.5000 0.5000 0.1913 1
Pb2 Pb 0.5000 0.5000 0.3978 1

# ZrCuNi2Bi PBE-GGA relaxed
# energy of formation = 0.949 eV per atom
# theoretical density = 7.465 g/cm³
data_ZrCuNi2Bi
_symmetry_space_group_name_H-M 'P 4/m m m'
_symmetry_Int_Tables_number 123
_symmetry_space_group_name_Hall '-P 4 2'
_cell_length_a 4.6592
_cell_length_b 4.6592
_cell_length_c 4.9304
_cell_angle_alpha 90.00
_cell_angle_beta 90.00
_cell_angle_gamma 90.00
loop_
_atom_site_label
_atom_site_type_symbol
_atom_site_fract_x
_atom_site_fract_y
_atom_site_fract_z
_atom_site_occupancy
Zr1 Zr 0.0000 0.0000 0.0000 1
Cu1 Cu 0.0000 0.0000 0.5000 1
Ni1 Ni 0.0000 0.5000 0.0000 1
Bi1 Bi 0.5000 0.5000 0.5000 1

# CaPr8Tm6 PBE-GGA relaxed
# energy of formation = 0.177 eV per atom
# theoretical density = 7.183 g/cm³
data_CaPr8Tm6
_symmetry_space_group_name_H-M 'R -3'
_symmetry_Int_Tables_number 148
_symmetry_space_group_name_Hall '-R 3'
_cell_length_a 9.7940
_cell_length_b 9.7940
_cell_length_c 18.2072
_cell_angle_alpha 90.00
_cell_angle_beta 90.00
_cell_angle_gamma 120.00
loop_
_atom_site_label
_atom_site_type_symbol
_atom_site_fract_x
_atom_site_fract_y
_atom_site_fract_z
_atom_site_occupancy
Ca1 Ca 0.0000 0.0000 0.0000 1
Pr1 Pr 0.0000 0.0000 0.2412 1
Pr2 Pr 0.0451 0.2831 0.9021 1
Tm1 Tm 0.0270 0.2326 0.4100 1

# BaAcZrO4 PBE-GGA relaxed
# total DFT energy (no corrections) = -7.855 eV/atom
# theoretical density = 7.225 g/cm³
data_BaAcZrO4
_symmetry_space_group_name_H-M 'C m c m'
_symmetry_Int_Tables_number 63
_symmetry_space_group_name_Hall '-C 2c 2'
_cell_length_a 5.9761
_cell_length_b 13.3467
_cell_length_c 5.9881
_cell_angle_alpha 90.00
_cell_angle_beta 90.00
_cell_angle_gamma 90.00
loop_
_atom_site_label
_atom_site_type_symbol
_atom_site_fract_x
_atom_site_fract_y
_atom_site_fract_z
_atom_site_occupancy
Ba1 Ba 0.0000 0.0981 0.2500 1
Ac1 Ac 0.0000 0.3968 0.2500 1
Zr1 Zr 0.0000 0.2505 0.7500 1
O1 O 0.0000 0.0932 0.7500 1
O2 O 0.0000 0.4207 0.7500 1
O3 O 0.2500 0.2500 0.0000 1

# Eu2SiH PBE-GGA relaxed
# relative energy among the computed polymorphs = 0.000 eV/f.u.
# theoretical density = 5.992 g/cm³
data_Eu2SiH
_symmetry_space_group_name_H-M 'R -3 m'
_symmetry_Int_Tables_number 166
_symmetry_space_group_name_Hall '-R 3 2"'
_cell_length_a 3.9111
_cell_length_b 3.9111
_cell_length_c 20.8999
_cell_angle_alpha 90.00
_cell_angle_beta 90.00
_cell_angle_gamma 120.00
loop_
_atom_site_label
_atom_site_type_symbol
_atom_site_fract_x
_atom_site_fract_y
_atom_site_fract_z
_atom_site_occupancy
Eu1 Eu 0.0000 0.0000 0.2392 1
Si1 Si 0.0000 0.0000 0.0000 1
H1 H 0.0000 0.0000 0.5000 1

# Rb2CoMoI6 PBE-GGA relaxed
# total DFT energy (no corrections) = -3.406 eV/atom
# theoretical density = 4.904 g/cm³
data_Rb2CoMoI6
_symmetry_space_group_name_H-M 'I 4/m m m'
_symmetry_Int_Tables_number 139
_symmetry_space_group_name_Hall '-I 4 2'
_cell_length_a 8.0480
_cell_length_b 8.0480
_cell_length_c 11.3669
_cell_angle_alpha 90.00
_cell_angle_beta 90.00
_cell_angle_gamma 90.00
loop_
_atom_site_label
_atom_site_type_symbol
_atom_site_fract_x
_atom_site_fract_y
_atom_site_fract_z
_atom_site_occupancy
Rb1 Rb 0.0000 0.5000 0.2500 1
Co1 Co 0.0000 0.0000 0.0000 1
Mo1 Mo 0.0000 0.0000 0.5000 1
I1 I 0.0000 0.0000 0.2491 1
I2 I 0.2493 0.2493 0.0000 1

# NdAlGa2Cu4 PBE-GGA relaxed
# energy of formation = -0.264 eV per atom
# theoretical density = 7.196 g/cm³
data_NdAlGa2Cu4
_symmetry_space_group_name_H-M 'R -3 m'
_symmetry_Int_Tables_number 166
_symmetry_space_group_name_Hall '-R 3 2"'
_cell_length_a 4.1873
_cell_length_b 4.1873
_cell_length_c 25.7535
_cell_angle_alpha 90.00
_cell_angle_beta 90.00
_cell_angle_gamma 120.00
loop_
_atom_site_label
_atom_site_type_symbol
_atom_site_fract_x
_atom_site_fract_y
_atom_site_fract_z
_atom_site_occupancy
Nd1 Nd 0.0000 0.0000 0.0000 1
Al1 Al 0.0000 0.0000 0.5000 1
Ga1 Ga 0.0000 0.0000 0.2464 1
Cu1 Cu 0.0000 0.0000 0.1332 1
Cu2 Cu 0.0000 0.0000 0.4059 1

# Cs4K3CuH8 PBE-GGA relaxed
# total DFT energy (no corrections) = -2.365 eV/atom
# theoretical density = 2.855 g/cm³
data_Cs4K3CuH8
_symmetry_space_group_name_H-M 'C 1 2/m 1'
_symmetry_Int_Tables_number 12
_symmetry_space_group_name_Hall '-C 2y'
_cell_length_a 15.3300
_cell_length_b 7.7738
_cell_length_c 8.1367
_cell_angle_alpha 90.00
_cell_angle_beta 120.18
_cell_angle_gamma 90.00
loop_
_atom_site_label
_atom_site_type_symbol
_atom_site_fract_x
_atom_site_fract_y
_atom_site_fract_z
_atom_site_occupancy
Cs1 Cs 0.0000 0.0000 0.0000 1
Cs2 Cs 0.0000 0.5000 0.0000 1
Cs3 Cs 0.2500 0.2500 0.5000 1
K1 K 0.0000 0.0000 0.5000 1
K2 K 0.2500 0.2500 0.0000 1
Cu1 Cu 0.0000 0.5000 0.5000 1
H1 H 0.0037 0.3329 0.3457 1
H2 H 0.2116 0.0000 0.1852 1
H3 H 0.2439 0.0000 0.7704 1

# CsMn3In PBE-GGA relaxed
# energy of formation = 2.146 eV per atom
# theoretical density = 5.025 g/cm³
data_CsMn3In
_symmetry_space_group_name_H-M 'P m -3 m'
_symmetry_Int_Tables_number 221
_symmetry_space_group_name_Hall '-P 4 2 3'
_cell_length_a 5.1466
_cell_length_b 5.1466
_cell_length_c 5.1466
_cell_angle_alpha 90.00
_cell_angle_beta 90.00
_cell_angle_gamma 90.00
loop_
_atom_site_label
_atom_site_type_symbol
_atom_site_fract_x
_atom_site_fract_y
_atom_site_fract_z
_atom_site_occupancy
Cs1 Cs 0.0000 0.0000 0.0000 1
Mn1 Mn 0.0000 0.0000 0.5000 1
In1 In 0.5000 0.5000 0.5000 1

# Ca2NiHg PBE-GGA relaxed
# energy of formation = -0.247 eV per atom
# theoretical density = 5.916 g/cm³
data_Ca2NiHg
_symmetry_space_group_name_H-M 'P 4/m m m'
_symmetry_Int_Tables_number 123
_symmetry_space_group_name_Hall '-P 4 2'
_cell_length_a 3.5830
_cell_length_b 3.5830
_cell_length_c 7.4214
_cell_angle_alpha 90.00
_cell_angle_beta 90.00
_cell_angle_gamma 90.00
loop_
_atom_site_label
_atom_site_type_symbol
_atom_site_fract_x
_atom_site_fract_y
_atom_site_fract_z
_atom_site_occupancy
Ca1 Ca 0.0000 0.0000 0.2230 1
Ni1 Ni 0.5000 0.5000 0.0000 1
Hg1 Hg 0.5000 0.5000 0.5000 1

# ZnGeC2 PBE-GGA relaxed
# energy of formation = 1.114 eV per atom
# relative energy among the computed polymorphs = 0.000 eV/f.u.
# theoretical density = 5.321 g/cm³
data_ZnGeC2
_symmetry_space_group_name_H-M 'I -4 2 d'
_symmetry_Int_Tables_number 122
_symmetry_space_group_name_Hall 'I -4 2bw'
_cell_length_a 4.7266
_cell_length_b 4.7266
_cell_length_c 9.0551
_cell_angle_alpha 90.00
_cell_angle_beta 90.00
_cell_angle_gamma 90.00
loop_
_atom_site_label
_atom_site_type_symbol
_atom_site_fract_x
_atom_site_fract_y
_atom_site_fract_z
_atom_site_occupancy
Zn1 Zn 0.0000 0.0000 0.0000 1
Ge1 Ge 0.0000 0.0000 0.5000 1
C1 C 0.2334 0.2500 0.6250 1

# CuIr5 PBE-GGA relaxed
# energy of formation = 0.123 eV per atom
# relative energy among the computed polymorphs = 0.154 eV/f.u.
# theoretical density = 19.863 g/cm³
data_CuIr5
_symmetry_space_group_name_H-M 'A m m 2'
_symmetry_Int_Tables_number 38
_symmetry_space_group_name_Hall 'A 2 -2'
_cell_length_a 4.4112
_cell_length_b 2.7601
_cell_length_c 14.0704
_cell_angle_alpha 90.00
_cell_angle_beta 90.00
_cell_angle_gamma 90.00
loop_
_atom_site_label
_atom_site_type_symbol
_atom_site_fract_x
_atom_site_fract_y
_atom_site_fract_z
_atom_site_occupancy
Cu1 Cu 0.0000 0.0000 0.0000 1
Ir1 Ir 0.0000 0.0000 0.3332 1
Ir2 Ir 0.0000 0.0000 0.6648 1
Ir3 Ir 0.5000 0.0000 0.1068 1
Ir4 Ir 0.5000 0.0000 0.4451 1
Ir5 Ir 0.5000 0.0000 0.7798 1

# AgPtIN2 PBE-GGA relaxed
# relative energy among the computed polymorphs = 4.957 eV/f.u.
# theoretical density = 6.335 g/cm³
data_AgPtIN2
_symmetry_space_group_name_H-M 'P 4/m m m'
_symmetry_Int_Tables_number 123
_symmetry_space_group_name_Hall '-P 4 2'
_cell_length_a 3.9398
_cell_length_b 3.9398
_cell_length_c 7.7327
_cell_angle_alpha 90.00
_cell_angle_beta 90.00
_cell_angle_gamma 90.00
loop_
_atom_site_label
_atom_site_type_symbol
_atom_site_fract_x
_atom_site_fract_y
_atom_site_fract_z
_atom_site_occupancy
Ag1 Ag 0.0000 0.0000 0.0000 1
Pt1 Pt 0.5000 0.5000 0.5000 1
I1 I 0.0000 0.0000 0.5000 1
N1 N 0.0000 0.5000 0.0000 1

# Re2SnS PBE-GGA relaxed
# relative energy among the computed polymorphs = 0.893 eV/f.u.
# theoretical density = 10.014 g/cm³
data_Re2SnS
_symmetry_space_group_name_H-M 'I -4 2 d'
_symmetry_Int_Tables_number 122
_symmetry_space_group_name_Hall 'I -4 2bw'
_cell_length_a 5.9588
_cell_length_b 5.9588
_cell_length_c 9.7729
_cell_angle_alpha 90.00
_cell_angle_beta 90.00
_cell_angle_gamma 90.00
loop_
_atom_site_label
_atom_site_type_symbol
_atom_site_fract_x
_atom_site_fract_y
_atom_site_fract_z
_atom_site_occupancy
Re1 Re 0.1882 0.2500 0.1250 1
Sn1 Sn 0.0000 0.0000 0.5000 1
S1 S 0.0000 0.0000 0.0000 1

# AsRuRh2 PBE-GGA relaxed
# energy of formation = 0.149 eV per atom
# theoretical density = 10.770 g/cm³
data_AsRuRh2
_symmetry_space_group_name_H-M 'P 4/m m m'
_symmetry_Int_Tables_number 123
_symmetry_space_group_name_Hall '-P 4 2'
_cell_length_a 4.5906
_cell_length_b 4.5906
_cell_length_c 2.7935
_cell_angle_alpha 90.00
_cell_angle_beta 90.00
_cell_angle_gamma 90.00
loop_
_atom_site_label
_atom_site_type_symbol
_atom_site_fract_x
_atom_site_fract_y
_atom_site_fract_z
_atom_site_occupancy
As1 As 0.0000 0.0000 0.0000 1
Ru1 Ru 0.5000 0.5000 0.0000 1
Rh1 Rh 0.0000 0.5000 0.5000 1

# BaNd2Pb9 PBE-GGA relaxed
# energy of formation = -0.370 eV per atom
# theoretical density = 10.153 g/cm³
data_BaNd2Pb9
_symmetry_space_group_name_H-M 'P 4/m m m'
_symmetry_Int_Tables_number 123
_symmetry_space_group_name_Hall '-P 4 2'
_cell_length_a 5.0207
_cell_length_b 5.0207
_cell_length_c 14.8620
_cell_angle_alpha 90.00
_cell_angle_beta 90.00
_cell_angle_gamma 90.00
loop_
_atom_site_label
_atom_site_type_symbol
_atom_site_fract_x
_atom_site_fract_y
_atom_site_fract_z
_atom_site_occupancy
Ba1 Ba 0.0000 0.0000 0.0000 1
Nd1 Nd 0.0000 0.0000 0.3397 1
Pb1 Pb 0.0000 0.5000 0.1754 1
Pb2 Pb 0.0000 0.5000 0.5000 1
Pb3 Pb 0.5000 0.5000 0.0000 1
Pb4 Pb 0.5000 0.5000 0.3364 1

# AcPm2AlO6 PBE-GGA relaxed
# total DFT energy (no corrections) = -7.744 eV/atom
# theoretical density = 6.486 g/cm³
data_AcPm2AlO6
_symmetry_space_group_name_H-M 'P 4 m m'
_symmetry_Int_Tables_number 99
_symmetry_space_group_name_Hall 'P 4 -2'
_cell_length_a 5.4091
_cell_length_b 5.4091
_cell_length_c 5.6001
_cell_angle_alpha 90.00
_cell_angle_beta 90.00
_cell_angle_gamma 90.00
loop_
_atom_site_label
_atom_site_type_symbol
_atom_site_fract_x
_atom_site_fract_y
_atom_site_fract_z
_atom_site_occupancy
Ac1 Ac 0.0000 0.0000 0.0000 1
Pm1 Pm 0.0000 0.5000 0.4470 1
Al1 Al 0.5000 0.5000 0.0865 1
O1 O 0.0000 0.0000 0.5754 1
O2 O 0.2709 0.2709 0.2132 1
O3 O 0.5000 0.5000 0.7622 1

# ScTl2AgF6 PBE-GGA relaxed
# total DFT energy (no corrections) = -5.032 eV/atom
# theoretical density = 6.237 g/cm³
data_ScTl2AgF6
_symmetry_space_group_name_H-M 'F m -3 m'
_symmetry_Int_Tables_number 225
_symmetry_space_group_name_Hall '-F 4 2 3'
_cell_length_a 8.9604
_cell_length_b 8.9604
_cell_length_c 8.9604
_cell_angle_alpha 90.00
_cell_angle_beta 90.00
_cell_angle_gamma 90.00
loop_
_atom_site_label
_atom_site_type_symbol
_atom_site_fract_x
_atom_site_fract_y
_atom_site_fract_z
_atom_site_occupancy
Sc1 Sc 0.0000 0.0000 0.0000 1
Tl1 Tl 0.2500 0.2500 0.2500 1
Ag1 Ag 0.0000 0.0000 0.5000 1
F1 F 0.0000 0.0000 0.2269 1

# Ca2NdInO PBE-GGA relaxed
# total DFT energy (no corrections) = -4.715 eV/atom
# theoretical density = 4.951 g/cm³
data_Ca2NdInO
_symmetry_space_group_name_H-M 'P 4/m m m'
_symmetry_Int_Tables_number 123
_symmetry_space_group_name_Hall '-P 4 2'
_cell_length_a 4.8575
_cell_length_b 4.8575
_cell_length_c 5.0491
_cell_angle_alpha 90.00
_cell_angle_beta 90.00
_cell_angle_gamma 90.00
loop_
_atom_site_label
_atom_site_type_symbol
_atom_site_fract_x
_atom_site_fract_y
_atom_site_fract_z
_atom_site_occupancy
Ca1 Ca 0.0000 0.5000 0.0000 1
Nd1 Nd 0.0000 0.0000 0.5000 1
In1 In 0.5000 0.5000 0.5000 1
O1 O 0.0000 0.0000 0.0000 1

# Be2Co PBE-GGA relaxed
# energy of formation = -0.285 eV per atom
# theoretical density = 5.024 g/cm³
data_Be2Co
_symmetry_space_group_name_H-M 'C 1 2/m 1'
_symmetry_Int_Tables_number 12
_symmetry_space_group_name_Hall '-C 2y'
_cell_length_a 7.1148
_cell_length_b 3.3484
_cell_length_c 4.4548
_cell_angle_alpha 90.00
_cell_angle_beta 106.52
_cell_angle_gamma 90.00
loop_
_atom_site_label
_atom_site_type_symbol
_atom_site_fract_x
_atom_site_fract_y
_atom_site_fract_z
_atom_site_occupancy
Be1 Be 0.0000 0.0000 0.0000 1
Be2 Be 0.0000 0.0000 0.5000 1
Be3 Be 0.1805 0.5000 0.3252 1
Co1 Co 0.1379 0.5000 0.8046 1

# Zr3BiH PBE-GGA relaxed
# relative energy among the computed polymorphs = 0.151 eV/f.u.
# theoretical density = 8.285 g/cm³
data_Zr3BiH
_symmetry_space_group_name_H-M 'P 1 21/c 1'
_symmetry_Int_Tables_number 14
_symmetry_space_group_name_Hall '-P 2ybc'
_cell_length_a 6.0552
_cell_length_b 6.0678
_cell_length_c 10.5768
_cell_angle_alpha 90.00
_cell_angle_beta 93.81
_cell_angle_gamma 90.00
loop_
_atom_site_label
_atom_site_type_symbol
_atom_site_fract_x
_atom_site_fract_y
_atom_site_fract_z
_atom_site_occupancy
Zr1 Zr 0.0830 0.1187 0.1698 1
Zr2 Zr 0.1994 0.6275 0.0841 1
Zr3 Zr 0.3350 0.1464 0.9104 1
Bi1 Bi 0.4061 0.6688 0.8340 1
H1 H 0.1009 0.1812 0.5137 1